No. 1
Computed, not measured: a geometry-optimized CsTbCdSe3 structure at the PBE-GGA level of DFT.

Calculated values
Crystal system = orthorhombic
Calculated total energy = -4.1818 eV/atom

a = 8.4054 Å, b = 8.4054 Å, c = 11.1926 Å
α = 90.00°, β = 90.00°, γ = 150.40°
Element x y z (fractional)
Se1 0.3819 0.6181 0.5462
Se2 0.6181 0.3819 0.0462
Se3 0.0624 0.9376 0.7500
Se4 0.3819 0.6181 0.9538
Se5 0.6181 0.3819 0.4538
Se6 0.9376 0.0624 0.2500
Cs1 0.7460 0.2540 0.7500
Cs2 0.2540 0.7460 0.2500
Cd1 0.5385 0.4615 0.2500
Cd2 0.4615 0.5385 0.7500
Tb1 0.0000 0.0000 0.5000
Tb2 0.0000 0.0000 0.0000

=====

No. 2
Computed, not measured: a geometry-optimized CsTbCdTeSe2 structure at the PBE-GGA level of DFT.

Calculated values
Crystal system = orthorhombic
Calculated total energy = -4.0204 eV/atom

a = 8.7386 Å, b = 8.7386 Å, c = 11.6701 Å
α = 90.00°, β = 90.00°, γ = 151.09°
Element x y z (fractional)
Te1 0.4227 0.5773 0.7500
Te2 0.5773 0.4227 0.2500
Se1 0.1099 0.8901 0.5551
Se2 0.8901 0.1099 0.4449
Se3 0.1099 0.8901 0.9449
Se4 0.8901 0.1099 0.0551
Tb1 0.5000 0.5000 0.5000
Tb2 0.5000 0.5000 0.0000
Cd1 0.0310 0.9690 0.7500
Cd2 0.9690 0.0310 0.2500
Cs1 0.2644 0.7356 0.2500
Cs2 0.7356 0.2644 0.7500

=====

No. 3
Computed, not measured: a geometry-optimized CsTbCdTe2Se structure at the PBE-GGA level of DFT.

Calculated values
Crystal system = orthorhombic
Calculated total energy = -3.8803 eV/atom

a = 8.7505 Å, b = 8.7505 Å, c = 11.4809 Å
α = 90.00°, β = 90.00°, γ = 150.34°
Element x y z (fractional)
Cs1 0.2384 0.7616 0.2500
Cs2 0.7616 0.2384 0.7500
Te1 0.8746 0.1254 0.4577
Te2 0.1254 0.8746 0.5423
Te3 0.8746 0.1254 0.0423
Te4 0.1254 0.8746 0.9577
Tb1 0.5000 0.5000 0.0000
Tb2 0.5000 0.5000 0.5000
Cd1 0.0386 0.9614 0.7500
Cd2 0.9614 0.0386 0.2500
Se1 0.4464 0.5536 0.7500
Se2 0.5536 0.4464 0.2500

=====

No. 4
Computed, not measured: a geometry-optimized CsTmCdSe3 structure at the PBE-GGA level of DFT.

Calculated values
Crystal system = monoclinic
Calculated total energy = -4.0224 eV/atom

a = 9.2448 Å, b = 9.2448 Å, c = 9.6026 Å
α = 101.01°, β = 101.01°, γ = 26.60°
Element x y z (fractional)
Se1 0.6699 0.6699 0.8700
Se2 0.3301 0.3301 0.1300
Se3 0.3422 0.3422 0.7435
Se4 0.0000 0.0000 0.0000
Se5 0.6578 0.6578 0.2565
Se6 0.5000 0.5000 0.5000
Cs1 0.1525 0.1525 0.5580
Cs2 0.8475 0.8475 0.4420
Cd1 0.5040 0.5040 0.2189
Cd2 0.4960 0.4960 0.7811
Tm1 0.1680 0.1680 0.0698
Tm2 0.8320 0.8320 0.9302

=====

No. 5
Computed, not measured: a geometry-optimized CsYCdSe3 structure at the PBE-GGA level of DFT.

Calculated values
Crystal system = orthorhombic
Calculated total energy = -4.4895 eV/atom

a = 8.4063 Å, b = 8.4063 Å, c = 11.1773 Å
α = 90.00°, β = 90.00°, γ = 29.54°
Element x y z (fractional)
Se1 0.3824 0.3824 0.4541
Se2 0.9373 0.9373 0.7500
Se3 0.0627 0.0627 0.2500
Se4 0.6176 0.6176 0.9541
Se5 0.6176 0.6176 0.5459
Se6 0.3824 0.3824 0.0459
Cd1 0.4620 0.4620 0.2500
Cd2 0.5380 0.5380 0.7500
Cs1 0.7461 0.7461 0.2500
Cs2 0.2539 0.2539 0.7500
Y1 0.0000 0.0000 0.0000
Y2 0.0000 0.0000 0.5000

=====

No. 6
Computed, not measured: a geometry-optimized CsYCdSe3 structure at the PBE-GGA level of DFT.

Calculated values
Crystal system = monoclinic
Calculated total energy = -4.4763 eV/atom

a = 9.5645 Å, b = 4.2999 Å, c = 10.5775 Å
α = 90.00°, β = 110.97°, γ = 90.00°
Element x y z (fractional)
Cs1 0.2234 0.2500 0.7443
Cs2 0.7766 0.7500 0.2557
Se1 0.2179 0.7500 0.0526
Se2 0.7821 0.2500 0.9474
Se3 0.5231 0.2500 0.3490
Se4 0.1239 0.2500 0.3720
Se5 0.8761 0.7500 0.6280
Se6 0.4769 0.7500 0.6510
Y1 0.6689 0.2500 0.6314
Y2 0.3311 0.7500 0.3686
Cd1 0.9165 0.7500 0.8859
Cd2 0.0835 0.2500 0.1141

=====

No. 7
Computed, not measured: a geometry-optimized CsZrCdSe3 structure at the PBE-GGA level of DFT.

Calculated values
Crystal system = monoclinic
Calculated total energy = -4.5191 eV/atom

a = 9.4172 Å, b = 4.1088 Å, c = 10.5321 Å
α = 90.00°, β = 113.27°, γ = 90.00°
Last column: magnetic moment on the atom in μB.
Element x y z (fractional)
Cd1 0.0850 0.7500 0.1166  0.01
Cd2 0.9150 0.2500 0.8834  0.01
Se1 0.1447 0.7500 0.3808  0.00
Se2 0.5247 0.7500 0.3409  0.00
Se3 0.4753 0.2500 0.6591  0.00
Se4 0.7678 0.7500 0.9398  0.01
Se5 0.8553 0.2500 0.6192  0.00
Se6 0.2322 0.2500 0.0602  0.01
Zr1 0.3557 0.2500 0.3828  0.50
Zr2 0.6443 0.7500 0.6172  0.50
Cs1 0.7847 0.2500 0.2508  0.00
Cs2 0.2153 0.7500 0.7492  0.00

=====

No. 8
Computed, not measured: a geometry-optimized CsCdSi structure at the PBE-GGA level of DFT.

Calculated values
Crystal system = cubic
ΔE to the lowest computed polymorph = 0.0 kJ per mole of atoms

a = 5.3470 Å, b = 5.3470 Å, c = 5.3470 Å
α = 60.00°, β = 60.00°, γ = 60.00°
Element x y z (fractional)
Si1 0.0000 0.0000 0.0000
Cs1 0.7500 0.7500 0.7500
Cd1 0.2500 0.2500 0.2500

=====

No. 9
Computed, not measured: a geometry-optimized CsCdSi structure at the PBE-GGA level of DFT.

Calculated values
Crystal system = cubic
ΔE to the lowest computed polymorph = 45.8 kJ per mole of atoms

a = 5.7503 Å, b = 5.7503 Å, c = 5.7503 Å
α = 60.00°, β = 60.00°, γ = 60.00°
Element x y z (fractional)
Si1 0.7500 0.7500 0.7500
Cd1 0.2500 0.2500 0.2500
Cs1 0.0000 0.0000 0.0000

=====

No. 10
Computed, not measured: a geometry-optimized CsSmCd structure at the PBE-GGA level of DFT.

Calculated values
Crystal system = cubic
Calculated total energy = -1.4806 eV/atom

a = 5.5952 Å, b = 5.5952 Å, c = 5.5952 Å
α = 60.00°, β = 60.00°, γ = 60.00°
Element x y z (fractional)
Sm1 0.0000 0.0000 0.0000
Cs1 0.7500 0.7500 0.7500
Cd1 0.2500 0.2500 0.2500

=====

No. 11
Computed, not measured: a geometry-optimized CsSmCdTe3 structure at the PBE-GGA level of DFT.

Calculated values
Crystal system = orthorhombic
Calculated total energy = -3.7593 eV/atom

a = 8.8984 Å, b = 8.8984 Å, c = 11.9763 Å
α = 90.00°, β = 90.00°, γ = 29.87°
Element x y z (fractional)
Cd1 0.4631 0.4631 0.2500
Cd2 0.5369 0.5369 0.7500
Te1 0.9334 0.9334 0.7500
Te2 0.3766 0.3766 0.4503
Te3 0.0666 0.0666 0.2500
Te4 0.6234 0.6234 0.5497
Te5 0.6234 0.6234 0.9503
Te6 0.3766 0.3766 0.0497
Cs1 0.2507 0.2507 0.7500
Cs2 0.7493 0.7493 0.2500
Sm1 0.0000 0.0000 0.5000
Sm2 0.0000 0.0000 0.0000

=====

No. 12
Computed, not measured: a geometry-optimized CsCdSn structure at the PBE-GGA level of DFT.

Calculated values
Crystal system = cubic
Calculated total energy = -1.2912 eV/atom

a = 5.9300 Å, b = 5.9300 Å, c = 5.9300 Å
α = 60.00°, β = 60.00°, γ = 60.00°
Element x y z (fractional)
Sn1 0.7500 0.7500 0.7500
Cd1 0.2500 0.2500 0.2500
Cs1 0.0000 0.0000 0.0000

=====

No. 13
Computed, not measured: a geometry-optimized Cs4ZnCdSn2 structure at the PBE-GGA level of DFT.

Calculated values
Crystal system = monoclinic
Calculated total energy = -1.8993 eV/atom

a = 7.3927 Å, b = 7.3927 Å, c = 7.1317 Å
α = 90.35°, β = 90.35°, γ = 109.80°
Element x y z (fractional)
Cs1 0.0096 0.6747 0.7514
Cs2 0.3253 0.9904 0.2486
Cs3 0.9904 0.3253 0.2486
Cs4 0.6747 0.0096 0.7514
Cd1 0.5000 0.5000 0.5000
Zn1 0.5000 0.5000 0.0000
Sn1 0.7409 0.7409 0.2361
Sn2 0.2591 0.2591 0.7639

=====

No. 14
Computed, not measured: a geometry-optimized CsSrCd structure at the PBE-GGA level of DFT.

Calculated values
Crystal system = cubic
ΔE to the lowest computed polymorph = 11.7 kJ per mole of atoms

a = 6.2981 Å, b = 6.2981 Å, c = 6.2981 Å
α = 60.00°, β = 60.00°, γ = 60.00°
Element x y z (fractional)
Cs1 0.0000 0.0000 0.0000
Cd1 0.2500 0.2500 0.2500
Sr1 0.7500 0.7500 0.7500

=====

No. 15
Computed, not measured: a geometry-optimized CsSrCd structure at the PBE-GGA level of DFT.

Calculated values
Crystal system = cubic
ΔE to the lowest computed polymorph = 0.0 kJ per mole of atoms

a = 6.1517 Å, b = 6.1517 Å, c = 6.1517 Å
α = 60.00°, β = 60.00°, γ = 60.00°
Element x y z (fractional)
Cd1 0.2500 0.2500 0.2500
Cs1 0.7500 0.7500 0.7500
Sr1 0.0000 0.0000 0.0000

=====

No. 16
Computed, not measured: a geometry-optimized Cs2Sr2Cd3 structure at the PBE-GGA level of DFT.

Calculated values
Crystal system = trigonal
Calculated total energy = -1.0843 eV/atom

a = 10.7534 Å, b = 10.7534 Å, c = 10.7534 Å
α = 32.84°, β = 32.84°, γ = 32.84°
Element x y z (fractional)
Cd1 0.8754 0.8754 0.8754
Cd2 0.6287 0.6287 0.6287
Cd3 0.3690 0.3690 0.3690
Sr1 0.5083 0.5083 0.5083
Sr2 0.9933 0.9933 0.9933
Cs1 0.2478 0.2478 0.2478
Cs2 0.7526 0.7526 0.7526

=====

No. 17
Computed, not measured: a geometry-optimized CsTaCd structure at the PBE-GGA level of DFT.

Calculated values
Crystal system = cubic
ΔE to the lowest computed polymorph = 42.7 kJ per mole of atoms

a = 5.8968 Å, b = 5.8968 Å, c = 5.8968 Å
α = 60.00°, β = 60.00°, γ = 60.00°
Element x y z (fractional)
Cd1 0.2500 0.2500 0.2500
Ta1 0.7500 0.7500 0.7500
Cs1 0.0000 0.0000 0.0000

=====

No. 18
Computed, not measured: a geometry-optimized CsTaCd structure at the PBE-GGA level of DFT.

Calculated values
Crystal system = cubic
ΔE to the lowest computed polymorph = 0.0 kJ per mole of atoms

a = 5.0981 Å, b = 5.0981 Å, c = 5.0981 Å
α = 60.00°, β = 60.00°, γ = 60.00°
Element x y z (fractional)
Ta1 0.0000 0.0000 0.0000
Cs1 0.7500 0.7500 0.7500
Cd1 0.2500 0.2500 0.2500

=====

No. 19
Computed, not measured: a geometry-optimized CsTbCd structure at the PBE-GGA level of DFT.

Calculated values
Crystal system = cubic
Calculated total energy = -1.1251 eV/atom

a = 5.6202 Å, b = 5.6202 Å, c = 5.6202 Å
α = 60.00°, β = 60.00°, γ = 60.00°
Element x y z (fractional)
Tb1 0.2500 0.2500 0.2500
Cd1 0.7500 0.7500 0.7500
Cs1 0.0000 0.0000 0.0000

=====

No. 20
Computed, not measured: a geometry-optimized CsCdTe structure at the PBE-GGA level of DFT.

Calculated values
Crystal system = cubic
ΔE to the lowest computed polymorph = 29.1 kJ per mole of atoms

a = 5.9933 Å, b = 5.9933 Å, c = 5.9933 Å
α = 60.00°, β = 60.00°, γ = 60.00°
Element x y z (fractional)
Cd1 0.2500 0.2500 0.2500
Te1 0.7500 0.7500 0.7500
Cs1 0.0000 0.0000 0.0000

=====

No. 21
Computed, not measured: a geometry-optimized CsCdTe structure at the PBE-GGA level of DFT.

Calculated values
Crystal system = cubic
ΔE to the lowest computed polymorph = 0.0 kJ per mole of atoms

a = 5.8626 Å, b = 5.8626 Å, c = 5.8626 Å
α = 60.00°, β = 60.00°, γ = 60.00°
Element x y z (fractional)
Cd1 0.2500 0.2500 0.2500
Te1 0.0000 0.0000 0.0000
Cs1 0.7500 0.7500 0.7500

=====

No. 22
Computed, not measured: a geometry-optimized CsZrCdTe3 structure at the PBE-GGA level of DFT.

Calculated values
Crystal system = monoclinic
Calculated total energy = -4.0767 eV/atom

a = 10.0107 Å, b = 4.3127 Å, c = 11.0836 Å
α = 90.00°, β = 113.36°, γ = 90.00°
Last column: magnetic moment on the atom in μB.
Element x y z (fractional)
Zr1 0.3548 0.2500 0.3798  0.31
Zr2 0.6452 0.7500 0.6202  0.31
Te1 0.7577 0.7500 0.9307  0.01
Te2 0.2423 0.2500 0.0693  0.01
Te3 0.1418 0.7500 0.3807  0.00
Te4 0.4663 0.2500 0.6609  -0.01
Te5 0.5337 0.7500 0.3391  -0.01
Te6 0.8582 0.2500 0.6193  0.00
Cd1 0.0747 0.7500 0.1109  0.01
Cd2 0.9253 0.2500 0.8891  0.01
Cs1 0.7877 0.2500 0.2416  0.00
Cs2 0.2123 0.7500 0.7584  0.00

=====

No. 23
Computed, not measured: a geometry-optimized CsThCd structure at the PBE-GGA level of DFT.

Calculated values
Crystal system = cubic
Calculated total energy = -1.7799 eV/atom

a = 5.3184 Å, b = 5.3184 Å, c = 5.3184 Å
α = 60.00°, β = 60.00°, γ = 60.00°
Element x y z (fractional)
Cs1 0.2500 0.2500 0.2500
Cd1 0.5000 0.5000 0.5000
Th1 0.0000 0.0000 0.0000

=====

No. 24
Computed, not measured: a geometry-optimized CsTlCd structure at the PBE-GGA level of DFT.

Calculated values
Crystal system = cubic
ΔE to the lowest computed polymorph = 0.0 kJ per mole of atoms

a = 5.8652 Å, b = 5.8652 Å, c = 5.8652 Å
α = 60.00°, β = 60.00°, γ = 60.00°
Element x y z (fractional)
Cd1 0.0000 0.0000 0.0000
Tl1 0.7500 0.7500 0.7500
Cs1 0.2500 0.2500 0.2500

=====

No. 25
Computed, not measured: a geometry-optimized CsTlCd structure at the PBE-GGA level of DFT.

Calculated values
Crystal system = cubic
ΔE to the lowest computed polymorph = 20.2 kJ per mole of atoms

a = 6.0467 Å, b = 6.0467 Å, c = 6.0467 Å
α = 60.00°, β = 60.00°, γ = 60.00°
Element x y z (fractional)
Cd1 0.2500 0.2500 0.2500
Cs1 0.0000 0.0000 0.0000
Tl1 0.7500 0.7500 0.7500

=====

No. 26
Computed, not measured: a geometry-optimized CsUCd structure at the PBE-GGA level of DFT.

Calculated values
Crystal system = cubic
Calculated total energy = -2.8735 eV/atom

a = 5.4815 Å, b = 5.4815 Å, c = 5.4815 Å
α = 60.00°, β = 60.00°, γ = 60.00°
Element x y z (fractional)
Cs1 0.7500 0.7500 0.7500
Cd1 0.2500 0.2500 0.2500
U1 0.0000 0.0000 0.0000

=====

No. 27
Computed, not measured: a geometry-optimized CsUCd structure at the PBE-GGA level of DFT.

Calculated values
Crystal system = cubic
Calculated total energy = -2.6537 eV/atom

a = 5.3772 Å, b = 5.3772 Å, c = 5.3772 Å
α = 60.00°, β = 60.00°, γ = 60.00°
Last column: magnetic moment on the atom in μB.
Element x y z (fractional)
Cs1 0.0000 0.0000 0.0000  0.08
U1 0.2500 0.2500 0.2500  3.29
Cd1 0.7500 0.7500 0.7500  0.04